Here is an optimized crystal structure of Li6Pd2Pt from the Alexandria database. Energies are from PBE.

**Formation energy from the elements**: -3.92 eV/f.u.
**SG**: C2/m

Cell: 2.6720 7.3746 7.3746 Å, 60.00 89.78 89.78°
With the nearest neighbours (Å) after each atom.
Atoms (fractional coordinates):
Li1 0.4976 0.0000 0.3317  5 Li 2.45-2.67
Li2 0.5022 0.0000 0.6683  5 Li 2.45-2.67
Li3 0.5022 0.6683 0.0000  5 Li 2.45-2.67
Li4 0.5000 0.3317 0.6683  5 Li 2.45-2.67
Li5 0.5000 0.6683 0.3317  5 Li 2.45-2.67
Li6 0.4976 0.3317 0.0000  5 Li 2.45-2.67
Pd1 0.0005 0.3333 0.3333  2 Pd 2.67, 12 Li 2.79-2.81
Pd2 0.0006 0.6667 0.6667  2 Pd 2.67, 12 Li 2.80-2.81
Pt1 0.9995 0.0000 0.0000  2 Pt 2.67, 12 Li 2.79

Here is an optimized crystal structure of Ca2MgSi4Ir3 from the Alexandria database. Energies are from PBE.

**E_form (uncorrected)**: -672 kJ/mol of formula units
**SG**: P-4m2

Cell: 4.1517 4.1517 10.2969 Å, 90.00 90.00 90.00°
With the nearest neighbours (Å) after each atom.
Atoms (fractional coordinates):
Ca1 0.5000 0.0000 0.2414  8 Si 3.16-3.24, 6 Ir 3.18-3.38, 2 Mg 3.38
Ca2 0.0000 0.5000 0.7586  8 Si 3.16-3.24, 6 Ir 3.18-3.38, 2 Mg 3.38
Mg1 0.5000 0.5000 0.5000  4 Si 2.56
Si1 0.5000 0.5000 0.0000  4 Ir 2.43
Si2 0.0000 0.0000 0.0000  4 Ir 2.43
Si3 0.5000 0.0000 0.6447  3 Ir 2.40-2.56, 2 Mg 2.56
Si4 0.0000 0.5000 0.3553  3 Ir 2.40-2.56, 2 Mg 2.56
Ir1 0.0000 0.0000 0.5000  4 Si 2.56
Ir2 0.5000 0.0000 0.8782  5 Si 2.40-2.43
Ir3 0.0000 0.5000 0.1218  5 Si 2.40-2.43

Here is an optimized crystal structure of KUVCl6 from the Alexandria database. Energies are from PBE.

**E_form (uncorrected)**: -1369 kJ/mol of formula units
**SG**: P-31c

Cell: 6.7887 6.7887 14.0122 Å, 90.00 90.00 120.00°
With the nearest neighbours (Å) after each atom.
Atoms (fractional coordinates):
K1 0.0000 0.0000 0.0000  6 Cl 3.19
K2 0.0000 0.0000 0.5000  6 Cl 3.19
U1 0.6667 0.3333 0.2500  6 Cl 2.75
U2 0.3333 0.6667 0.7500  6 Cl 2.75
V1 0.3333 0.6667 0.2500  6 Cl 2.51
V2 0.6667 0.3333 0.7500  6 Cl 2.51
Cl1 0.6231 0.6515 0.1443  1 V 2.51, 1 U 2.75
Cl2 0.0284 0.3769 0.1443  1 V 2.51, 1 U 2.75
Cl3 0.3769 0.0284 0.6443  1 V 2.51, 1 U 2.75
Cl4 0.9716 0.6231 0.8557  1 V 2.51, 1 U 2.75
Cl5 0.3485 0.3769 0.3557  1 V 2.51, 1 U 2.75
Cl6 0.0284 0.6515 0.3557  1 V 2.51, 1 U 2.75
Cl7 0.6515 0.0284 0.8557  1 V 2.51, 1 U 2.75
Cl8 0.6231 0.9716 0.3557  1 V 2.51, 1 U 2.75
Cl9 0.9716 0.3485 0.6443  1 V 2.51, 1 U 2.75
Cl10 0.3485 0.9716 0.1443  1 V 2.51, 1 U 2.75
Cl11 0.6515 0.6231 0.6443  1 V 2.51, 1 U 2.75
Cl12 0.3769 0.3485 0.8557  1 V 2.51, 1 U 2.75

no.,total magnetization (μB/atom),raw total energy (eV per cell)
1,0.0000,-31.83
2,0.0000,-60.84
3,0.6667,-93.54